Record 1
Density functional theory data (PBE) for a relaxed structure of Nd2DyHg.

- ΔE_f: -0.229 eV per atom
- SG: No. 129
- Magnetic moment: 0.00 μB per cell
- Excess energy over the best structure of this formula in the dataset: 0 kJ/mol of formula units

a b c (Å): 5.2304 5.2304 8.9708
angles (deg): 90.00 90.00 90.00
Positions (direct):
Nd: 0.2500 0.2500 0.2214
Nd: 0.2500 0.7500 0.5000
Nd: 0.7500 0.2500 0.5000
Nd: 0.7500 0.7500 0.7786
Dy: 0.2500 0.2500 0.7840
Dy: 0.7500 0.7500 0.2160
Hg: 0.2500 0.7500 0.0000
Hg: 0.7500 0.2500 0.0000

Record 2
Density functional theory data (PBE) for a relaxed structure of NaCaNb2.

- ΔE_f: 1.252 eV per atom
- SG: No. 122
- Magnetic moment: 0.00 μB per cell
- Excess energy over the best structure of this formula in the dataset: 0 kJ/mol of formula units

a b c (Å): 6.5890 6.5890 6.5890
angles (deg): 99.14 99.14 133.02
Positions (direct):
Na: 0.0000 0.0000 0.0000
Na: 0.7500 0.2500 0.5000
Ca: 0.2500 0.7500 0.5000
Ca: 0.5000 0.5000 0.0000
Nb: 0.1125 0.6250 0.9875
Nb: 0.3750 0.3625 0.4875
Nb: 0.6375 0.1250 0.0125
Nb: 0.8750 0.8875 0.5125

Record 3
Density functional theory data (PBE) for a relaxed structure of Hf2TiGa4.

- ΔE_f: -0.263 eV per atom
- SG: No. 1
- Magnetic moment: 0.00 μB per cell
- Excess energy over the best structure of this formula in the dataset: 0 kJ/mol of formula units

a b c (Å): 5.4653 6.3917 7.6800
angles (deg): 92.35 99.77 105.15
Positions (direct):
Hf: 0.0000 0.0000 0.0000
Hf: 0.0054 0.5488 0.5664
Hf: 0.1466 0.5360 0.0866
Hf: 0.6318 0.4441 0.1327
Ti: 0.4367 0.2216 0.4671
Ti: 0.8902 0.9954 0.6057
Ga: 0.0312 0.8345 0.3193
Ga: 0.2705 0.3092 0.8010
Ga: 0.3663 0.9269 0.7618
Ga: 0.5024 0.6567 0.4229
Ga: 0.5069 0.9454 0.1668
Ga: 0.6461 0.6423 0.7783
Ga: 0.7591 0.2756 0.8041
Ga: 0.9380 0.2169 0.3154

Record 4
Density functional theory data (PBE) for a relaxed structure of Tl2VHBr6.

- SG: No. 14
- Magnetic moment: 4.00 μB per cell
- Electronic total energy: -69.0 eV for the cell shown

a b c (Å): 6.6922 11.4845 9.6493
angles (deg): 90.00 119.13 90.00
Positions (direct):
Tl: 0.0649 0.2074 0.3978
Tl: 0.0649 0.2926 0.8978
Tl: 0.9351 0.7074 0.1022
Tl: 0.9351 0.7926 0.6022
V: 0.5000 0.0000 0.0000
V: 0.5000 0.5000 0.5000
H: 0.0000 0.0000 0.0000
H: 0.0000 0.5000 0.5000
Br: 0.1660 0.0532 0.7317
Br: 0.1660 0.4468 0.2317
Br: 0.2616 0.0513 0.1406
Br: 0.2616 0.4487 0.6406
Br: 0.3631 0.7095 0.4678
Br: 0.3631 0.7905 0.9678
Br: 0.6369 0.2095 0.0322
Br: 0.6369 0.2905 0.5322
Br: 0.7384 0.5513 0.3594
Br: 0.7384 0.9487 0.8594
Br: 0.8340 0.5532 0.7683
Br: 0.8340 0.9468 0.2683

Record 5
Density functional theory data (PBE) for a relaxed structure of Ag2BPd.

- ΔE_f: 0.480 eV per atom
- SG: No. 122
- Magnetic moment: 0.00 μB per cell

a b c (Å): 5.8215 5.8215 5.8215
angles (deg): 98.19 98.19 135.66
Positions (direct):
Ag: 0.0169 0.6250 0.8919
Ag: 0.3750 0.2669 0.3919
Ag: 0.7331 0.1250 0.1081
Ag: 0.8750 0.9831 0.6081
B: 0.0000 0.0000 0.0000
B: 0.7500 0.2500 0.5000
Pd: 0.2500 0.7500 0.5000
Pd: 0.5000 0.5000 0.0000

Record 6
Density functional theory data (PBE) for a relaxed structure of CaCuPb2.

- ΔE_f: -0.005 eV per atom
- SG: No. 166
- Magnetic moment: 0.00 μB per cell

a b c (Å): 8.6670 8.6670 8.6670
angles (deg): 26.22 26.22 26.22
Positions (direct):
Ca: 0.0000 0.0000 0.0000
Cu: 0.5000 0.5000 0.5000
Pb: 0.2300 0.2300 0.2300
Pb: 0.7700 0.7700 0.7700

Record 7
Density functional theory data (PBE) for a relaxed structure of LiLa2Ni12P3.

- ΔE_f: -0.153 eV per atom
- SG: No. 166
- Magnetic moment: 0.00 μB per cell

a b c (Å): 6.3345 6.3345 6.3345
angles (deg): 82.41 82.41 82.41
Positions (direct):
Li: 0.0000 0.0000 0.0000
La: 0.3701 0.3701 0.3701
La: 0.6299 0.6299 0.6299
Ni: 0.0922 0.6456 0.6456
Ni: 0.1739 0.1739 0.6781
Ni: 0.1739 0.6781 0.1739
Ni: 0.3219 0.8261 0.8261
Ni: 0.3544 0.3544 0.9078
Ni: 0.3544 0.9078 0.3544
Ni: 0.6456 0.0922 0.6456
Ni: 0.6456 0.6456 0.0922
Ni: 0.6781 0.1739 0.1739
Ni: 0.8261 0.3219 0.8261
Ni: 0.8261 0.8261 0.3219
Ni: 0.9078 0.3544 0.3544
P: 0.0000 0.0000 0.5000
P: 0.0000 0.5000 0.0000
P: 0.5000 0.0000 0.0000

Record 8
Density functional theory data (PBE) for a relaxed structure of ErSbTe2.

- SG: No. 166
- Magnetic moment: 0.00 μB per cell
- Energy relative to the elements, uncorrected: -0.6095 eV/atom

a b c (Å): 9.9385 9.9385 9.9385
angles (deg): 24.17 24.17 24.17
Positions (direct):
Er: 0.0000 0.0000 0.0000
Sb: 0.5000 0.5000 0.5000
Te: 0.3966 0.3966 0.3966
Te: 0.6034 0.6034 0.6034

Record 9
Density functional theory data (PBE) for a relaxed structure of Ti3TlIr.

- ΔE_f: 0.195 eV per atom
- SG: No. 221
- Magnetic moment: 0.00 μB per cell
- Excess energy over the best structure of this formula in the dataset: 0 kJ/mol of formula units

a b c (Å): 4.7881 4.7881 4.7881
angles (deg): 90.00 90.00 90.00
Positions (direct):
Ti: 0.0000 0.0000 0.5000
Ti: 0.0000 0.5000 0.0000
Ti: 0.5000 0.0000 0.0000
Tl: 0.5000 0.5000 0.5000
Ir: 0.0000 0.0000 0.0000

Record 10
Density functional theory data (PBE) for a relaxed structure of PmNpS4.

- SG: No. 65
- Magnetic moment: 2.00 μB per cell
- Energy relative to the elements, uncorrected: -1.3660 eV/atom

a b c (Å): 6.3249 6.3249 4.1427
angles (deg): 90.00 90.00 90.91
Positions (direct):
Pm: 0.0000 0.0000 0.0000
Np: 0.5000 0.5000 0.5000
S: 0.2093 0.2093 0.5000
S: 0.3171 0.6829 0.0000
S: 0.6829 0.3171 0.0000
S: 0.7907 0.7907 0.5000

Record 11
Density functional theory data (PBE) for a relaxed structure of SrBeSiPt3.

- SG: No. 63
- Magnetic moment: 0.00 μB per cell
- Energy relative to the elements, uncorrected: -0.7419 eV/atom

a b c (Å): 6.8008 6.8008 5.6903
angles (deg): 90.00 90.00 122.49
Positions (direct):
Sr: 0.2349 0.7651 0.7500
Sr: 0.7651 0.2349 0.2500
Be: 0.4969 0.5031 0.2500
Be: 0.5031 0.4969 0.7500
Si: 0.1117 0.8883 0.2500
Si: 0.8883 0.1117 0.7500
Pt: 0.2265 0.2265 0.0000
Pt: 0.2265 0.2265 0.5000
Pt: 0.3052 0.6948 0.2500
Pt: 0.6948 0.3052 0.7500
Pt: 0.7735 0.7735 0.0000
Pt: 0.7735 0.7735 0.5000

Record 12
Density functional theory data (PBE) for a relaxed structure of CaScCo2P.

- ΔE_f: 1.533 eV per atom
- SG: No. 123
- Magnetic moment: 1.88 μB per cell

a b c (Å): 4.3084 4.3084 5.5180
angles (deg): 90.00 90.00 90.00
Positions (direct):
Ca: 0.0000 0.0000 0.0000
Sc: 0.0000 0.0000 0.5000
Co: 0.0000 0.5000 0.0000
Co: 0.5000 0.0000 0.0000
P: 0.5000 0.5000 0.5000